This record from Alexandria via LeMat-Bulk describes an optimized crystal structure of Ac4La7Tm. The functional is PBE.

a = 6.6394 Å, b = 7.6435 Å, c = 9.5133 Å
α = 90.07°, β = 103.47°, γ = 90.09°
Element x y z (fractional)
Ac  0.2223  0.2403  0.1736
Ac  0.2705  0.5000  0.8290
Ac  0.7295  0.5000  0.1710
Ac  0.7777  0.7597  0.8264
La  0.0024  0.7586  0.4963
La  0.2261  0.7556  0.1759
La  0.2830  0.0011  0.8281
La  0.5000  0.5000  0.5000
La  0.7170  0.9989  0.1719
La  0.7739  0.2444  0.8241
La  0.9976  0.2414  0.5037
Tm  0.5000  0.0000  0.5000

This record from Alexandria via LeMat-Bulk describes an optimized crystal structure of AcLaTm2. The functional is PBE.

a = 3.8186 Å, b = 3.8186 Å, c = 9.6624 Å
α = 90.00°, β = 90.00°, γ = 90.00°
Element x y z (fractional)
Ac  0.0000  0.0000  0.0000
La  0.0000  0.0000  0.5000
Tm  0.5000  0.5000  0.2580
Tm  0.5000  0.5000  0.7420

This record from Alexandria via LeMat-Bulk describes an optimized crystal structure of Ac4La2Tm. The functional is PBE.

a = 8.8699 Å, b = 8.8699 Å, c = 11.7186 Å
α = 129.56°, β = 129.56°, γ = 25.43°
Element x y z (fractional)
Ac  0.1851  0.1851  0.0454
Ac  0.2146  0.2146  0.6095
Ac  0.7854  0.7854  0.3905
Ac  0.8149  0.8149  0.9546
La  0.4677  0.4677  0.3145
La  0.5323  0.5323  0.6855
Tm  0.5000  0.5000  0.0000

This record from Alexandria via LeMat-Bulk describes an optimized crystal structure of Ac2La4Tm5. The functional is PBE.

a = 12.2943 Å, b = 12.2943 Å, c = 9.0752 Å
α = 110.58°, β = 110.58°, γ = 17.57°
Element x y z (fractional)
Ac  0.1104  0.1104  0.4497
Ac  0.8896  0.8896  0.5503
La  0.1841  0.1841  0.8904
La  0.4598  0.4598  0.2834
La  0.5402  0.5402  0.7166
La  0.8159  0.8159  0.1096
Tm  0.0000  0.0000  0.0000
Tm  0.2470  0.2470  0.3359
Tm  0.3750  0.3750  0.8771
Tm  0.6250  0.6250  0.1229
Tm  0.7530  0.7530  0.6641

This record from Alexandria via LeMat-Bulk describes an optimized crystal structure of AcLa14Tm. The functional is PBE.

a = 7.4354 Å, b = 7.4354 Å, c = 10.5737 Å
α = 90.00°, β = 90.00°, γ = 90.05°
Element x y z (fractional)
Ac  0.0000  0.0000  0.0000
La  0.0000  0.0000  0.5000
La  0.0000  0.5000  0.0000
La  0.0000  0.5000  0.5000
La  0.2549  0.2549  0.2504
La  0.2549  0.2549  0.7496
La  0.2548  0.7452  0.2505
La  0.2548  0.7452  0.7495
La  0.5000  0.0000  0.0000
La  0.5000  0.0000  0.5000
La  0.5000  0.5000  0.5000
La  0.7452  0.2548  0.2505
La  0.7452  0.2548  0.7495
La  0.7451  0.7451  0.2504
La  0.7451  0.7451  0.7496
Tm  0.5000  0.5000  0.0000

This record from Alexandria via LeMat-Bulk describes an optimized crystal structure of Ac4La4Tm3. The functional is PBE.

a = 3.7229 Å, b = 5.8659 Å, c = 19.2917 Å
α = 81.28°, β = 89.98°, γ = 90.00°
Element x y z (fractional)
Ac  0.0000  0.0000  0.0000
Ac  0.0003  0.3697  0.2623
Ac  0.5015  0.8116  0.3788
Ac  0.5020  0.1845  0.6361
La  0.0014  0.2701  0.4629
La  0.0008  0.6302  0.7423
La  0.5000  0.5466  0.9088
La  0.5001  0.9111  0.1782
Tm  0.0026  0.7254  0.5538
Tm  0.5001  0.0899  0.8224
Tm  0.4998  0.4552  0.0888

This record from Alexandria via LeMat-Bulk describes an optimized crystal structure of AcLa9Tm2. The functional is PBE.

a = 5.2386 Å, b = 5.2386 Å, c = 15.8004 Å
α = 90.00°, β = 90.00°, γ = 90.00°
Element x y z (fractional)
Ac  0.0000  0.0000  0.0000
La  0.0000  0.5000  0.1742
La  0.0000  0.5000  0.5000
La  0.0000  0.5000  0.8258
La  0.5000  0.0000  0.1742
La  0.5000  0.0000  0.5000
La  0.5000  0.0000  0.8258
La  0.5000  0.5000  0.0000
La  0.5000  0.5000  0.3381
La  0.5000  0.5000  0.6619
Tm  0.0000  0.0000  0.3374
Tm  0.0000  0.0000  0.6626

This record from Alexandria via LeMat-Bulk describes an optimized crystal structure of AcLa2Tm. The functional is PBE.

a = 5.2626 Å, b = 5.2626 Å, c = 5.3009 Å
α = 90.00°, β = 90.00°, γ = 90.00°
Element x y z (fractional)
Ac  0.0000  0.0000  0.0000
La  0.0000  0.5000  0.5000
La  0.5000  0.0000  0.5000
Tm  0.5000  0.5000  0.0000

Record-wise M_tot values, in Bohr magnetons per cell: 0.0; 0.0; 0.0; 0.0; 0.0; 0.0; 0.0; 0.0
Record-wise E_form values, in eV per atom: 0.03; 0.05; 0.26; 0.04; 0.01; 0.06; 0.02; 0.02